#P
DFT (PBE-GGA) results for a relaxed VCr2Co crystal.

## Properties
N(E_F), states/eV/f.u.: 3.89

Cell and atoms, written as POSCAR:
```
VCr2Co
1.0
-1.0408 1.8316 1.9935
1.6545 -1.2601 2.0216
4.1911 3.6432 -1.1590
Cr Co V
2 1 1
Direct
0.0000 0.0000 0.7507
0.0000 0.0000 0.2493
0.5000 0.5000 0.0000
0.5000 0.5000 0.5000
```

***

#Q
DFT (PBE-GGA) results for a relaxed VCr2Co crystal.

## Properties
N(E_F), states/eV/f.u.: 4.55

Cell and atoms, written as POSCAR:
```
VCr2Co
1.0
-4.6644 -3.1306 -3.2539
2.4513 -5.6845 1.9552
-2.4943 -4.3431 1.2779
Cr Co V
4 2 2
Direct
0.6419 0.1250 0.2500
0.1081 0.6250 0.2500
0.3750 0.3581 0.7500
0.8750 0.8919 0.7500
0.0000 0.0000 0.0000
0.7500 0.2500 0.5000
0.5000 0.5000 0.0000
0.2500 0.7500 0.5000
```

***

#R
DFT (PBE-GGA) results for a relaxed VCr2Co crystal.

## Properties
N(E_F), states/eV/f.u.: 5.91

Cell and atoms, written as POSCAR:
```
VCr2Co
1.0
4.0981 0.0000 0.0000
0.0000 3.3957 0.0000
0.0000 0.0000 3.3957
Cr Co V
2 1 1
Direct
0.0000 0.0000 0.5000
0.0000 0.5000 0.0000
0.5000 0.0000 0.0000
0.5000 0.5000 0.5000
```

***

#S
DFT (PBE-GGA) results for a relaxed VCr2Co crystal.

## Properties
N(E_F), states/eV/f.u.: 4.41

Cell and atoms, written as POSCAR:
```
VCr2Co
1.0
-1.5176 -3.7612 -0.2657
1.3665 -2.9221 2.4727
-2.3877 -1.4416 2.9565
Cr Co V
2 1 1
Direct
0.2500 0.2500 0.2500
0.7500 0.7500 0.7500
0.5000 0.5000 0.5000
0.0000 0.0000 0.0000
```

***

Most stable to least stable, the ends of the list are #P and #Q.

***

#P
DFT (PBE-GGA) results for a relaxed VCrCo4 crystal.

## Properties
N(E_F), states/eV/f.u.: 9.32

Cell and atoms, written as POSCAR:
```
VCrCo4
1.0
4.6317 0.0000 0.0000
2.3158 4.0112 0.0000
2.3158 1.3371 3.7818
Cr Co V
1 4 1
Direct
0.0000 0.0000 0.0000
0.6255 0.6255 0.1235
0.6255 0.1235 0.6255
0.6255 0.6255 0.6255
0.1235 0.6255 0.6255
0.2500 0.2500 0.2500
```

***

#Q
DFT (PBE-GGA) results for a relaxed VCrCo4 crystal.

## Properties
N(E_F), states/eV/f.u.: 8.67

Cell and atoms, written as POSCAR:
```
VCrCo4
1.0
2.6750 6.7726 -3.2149
3.1869 -2.0480 -1.6625
-5.1739 -3.0912 -0.9630
V Cr Co
2 2 8
Direct
0.9986 0.9986 0.9971
0.2514 0.7514 0.5029
0.5026 0.5026 0.0053
0.7474 0.2474 0.4947
0.4141 0.2522 0.5044
0.6633 0.0010 0.0020
0.3387 0.0010 0.0020
0.0903 0.2522 0.5044
0.1597 0.4978 0.9956
0.9113 0.7490 0.4980
0.5867 0.7490 0.4980
0.8359 0.4978 0.9956
```

***

Most stable to least stable, the ends of the list are #Q and #P.

***

#P
DFT (PBE-GGA) results for a relaxed VCr3Co crystal.

## Properties
N(E_F), states/eV/f.u.: 6.91

Cell and atoms, written as POSCAR:
```
VCr3Co
1.0
-1.1653 -2.6287 3.0196
1.1712 -3.2311 -2.3610
3.8284 0.1884 1.6413
Cr Co V
3 1 1
Direct
0.0000 0.5000 0.0000
0.0000 0.0000 0.5000
0.5000 0.0000 0.0000
0.5000 0.5000 0.5000
0.0000 0.0000 0.0000
```

***

#Q
DFT (PBE-GGA) results for a relaxed VCr3Co crystal.

## Properties
N(E_F), states/eV/f.u.: 7.67

Cell and atoms, written as POSCAR:
```
VCr3Co
1.0
-1.5133 -2.8410 -2.7613
2.1001 -3.0816 2.0197
-3.3594 -0.6467 2.5064
Cr Co V
3 1 1
Direct
0.0000 0.5000 0.0000
0.0000 0.0000 0.5000
0.5000 0.0000 0.0000
0.0000 0.0000 0.0000
0.5000 0.5000 0.5000
```

***

Most stable to least stable, the ends of the list are #Q and #P.

***

#P
DFT (PBE-GGA) results for a relaxed V4Cr2Co crystal.

## Properties
N(E_F), states/eV/f.u.: 9.46

Cell and atoms, written as POSCAR:
```
V4Cr2Co
1.0
-1.2051 -3.1774 2.5551
3.1247 0.9919 2.7072
-2.6526 2.5554 5.4640
Cr Co V
2 1 4
Direct
0.3779 0.3779 0.2441
0.6221 0.6221 0.7559
0.0000 0.0000 0.0000
0.1965 0.1965 0.6070
0.8035 0.8035 0.3930
0.0000 0.5000 0.0000
0.5000 0.0000 0.0000
```

***

#Q
DFT (PBE-GGA) results for a relaxed V4Cr2Co crystal.

## Properties
N(E_F), states/eV/f.u.: 6.73

Cell and atoms, written as POSCAR:
```
V4Cr2Co
1.0
4.6616 -0.0459 -1.6685
-2.3368 4.0559 -1.6141
-0.0265 0.0459 4.9511
V Cr Co
4 2 1
Direct
0.5000 0.0000 0.0000
0.5000 0.5000 0.5000
0.0000 0.0000 0.5000
0.0000 0.5000 0.0000
0.5000 0.5000 0.0000
0.5000 0.0000 0.5000
0.0000 0.0000 0.0000
```

***

Most stable to least stable, the ends of the list are #Q and #P.

***

#P
DFT (PBE-GGA) results for a relaxed CrCo2W crystal.

## Properties
N(E_F), states/eV/f.u.: 5.21

Cell and atoms, written as POSCAR:
```
CrCo2W
1.0
4.5150 -0.0157 -0.0182
1.5983 4.2227 0.0182
-3.0466 -2.1181 2.5725
Co Cr W
2 1 1
Direct
0.0000 0.0000 0.0000
0.2500 0.7500 0.5000
0.5000 0.5000 0.0000
0.7500 0.2500 0.5000
```

***

#Q
DFT (PBE-GGA) results for a relaxed CrCo2W crystal.

## Properties
N(E_F), states/eV/f.u.: 2.01

Cell and atoms, written as POSCAR:
```
CrCo2W
1.0
3.6343 0.0000 0.0000
0.0000 3.6346 0.0000
0.0000 0.0000 3.6412
Cr Co W
1 2 1
Direct
0.5000 0.0000 0.5000
0.0000 0.0000 0.0000
0.5000 0.5000 0.0000
0.0000 0.5000 0.5000
```

***

#R
DFT (PBE-GGA) results for a relaxed CrCo2W crystal.

## Properties
N(E_F), states/eV/f.u.: 5.08

Cell and atoms, written as POSCAR:
```
CrCo2W
1.0
-0.7954 -0.8830 -4.3293
-0.7802 -3.2234 -3.0259
-4.3937 -0.0632 -0.0619
Co Cr W
2 1 1
Direct
0.0057 0.0057 0.9854
0.4943 0.4943 0.5146
0.7500 0.7500 0.7500
0.2500 0.2500 0.2500
```

***

#S
DFT (PBE-GGA) results for a relaxed CrCo2W crystal.

## Properties
N(E_F), states/eV/f.u.: 3.98

Cell and atoms, written as POSCAR:
```
CrCo2W
1.0
6.4157 0.0000 0.0000
0.0000 6.4157 0.0000
3.2078 3.2078 2.5060
Cr Co W
2 4 2
Direct
0.5000 0.5000 0.0000
0.2500 0.7500 0.5000
0.6006 0.1250 0.2500
0.1494 0.6250 0.2500
0.3750 0.3994 0.7500
0.8750 0.8506 0.7500
0.0000 0.0000 0.0000
0.7500 0.2500 0.5000
```

***

Most stable to least stable, the ends of the list are #Q and #S.

***

#P
DFT (PBE-GGA) results for a relaxed CrCo2W crystal.

## Properties
N(E_F), states/eV/f.u.: 4.38

Cell and atoms, written as POSCAR:
```
CrCo2W
1.0
-2.0360 -1.5718 0.7339
2.1697 -2.0694 1.5875
-0.5789 2.8604 4.5199
Co Cr W
2 1 1
Direct
0.0000 0.0000 0.0139
0.5000 0.5000 0.2640
0.0000 0.0000 0.4607
0.5000 0.5000 0.7613
```

***

#Q
DFT (PBE-GGA) results for a relaxed CrCo2W crystal.

## Properties
N(E_F), states/eV/f.u.: 2.38

Cell and atoms, written as POSCAR:
```
CrCo2W
1.0
0.0000 2.9458 2.9458
2.9458 0.0000 2.9458
2.9458 2.9458 0.0000
Cr Co W
1 2 1
Direct
0.0000 0.0000 0.0000
0.2500 0.2500 0.2500
0.7500 0.7500 0.7500
0.5000 0.5000 0.5000
```

***

#R
DFT (PBE-GGA) results for a relaxed CrCo2W crystal.

## Properties
N(E_F), states/eV/f.u.: 3.74

Cell and atoms, written as POSCAR:
```
CrCo2W
1.0
-1.2933 2.4889 2.2957
-1.7381 -1.7119 0.8768
1.6151 -3.2745 4.4598
Co Cr W
2 1 1
Direct
0.0000 0.9870 0.0131
0.0000 0.5130 0.4869
0.5000 0.2500 0.2500
0.5000 0.7500 0.7500
```

***

Most stable to least stable, the ends of the list are #R and #Q.

***

#P
DFT (PBE-GGA) results for a relaxed CrCo2W crystal.

## Properties
N(E_F), states/eV/f.u.: 6.35

Cell and atoms, written as POSCAR:
```
CrCo2W
1.0
-2.1129 -0.2071 -3.5141
-3.9876 -0.9760 0.0567
-2.8238 2.8510 -0.8686
Co Cr W
2 1 1
Direct
0.0000 0.0000 0.0000
0.2500 0.2500 0.2500
0.5000 0.5000 0.5000
0.7500 0.7500 0.7500
```

***

#Q
DFT (PBE-GGA) results for a relaxed CrCo2W crystal.

## Properties
N(E_F), states/eV/f.u.: 4.82

Cell and atoms, written as POSCAR:
```
CrCo2W
1.0
-0.7858 2.4093 -8.2227
-2.9352 0.9199 -8.0358
-3.0128 3.4326 -7.2921
Co Cr W
2 1 1
Direct
0.9957 0.9957 0.9957
0.2494 0.2494 0.2494
0.5076 0.5076 0.5076
0.7473 0.7473 0.7473
```

***

Most stable to least stable, the ends of the list are #P and #Q.

***

#P
DFT (PBE-GGA) results for a relaxed CrCo2W crystal.

## Properties
N(E_F), states/eV/f.u.: 5.19

Cell and atoms, written as POSCAR:
```
CrCo2W
1.0
-4.1309 6.9095 2.6431
-4.2158 5.5125 4.8611
-2.1115 6.9794 4.3151
Co Cr W
2 1 1
Direct
0.9949 0.9949 0.9949
0.5051 0.5051 0.5051
0.2500 0.2500 0.2500
0.7500 0.7500 0.7500
```

***

#Q
DFT (PBE-GGA) results for a relaxed CrCo2W crystal.

## Properties
N(E_F), states/eV/f.u.: 3.41

Cell and atoms, written as POSCAR:
```
CrCo2W
1.0
2.5950 0.0022 0.0000
-0.0034 2.5950 0.0000
0.0000 0.0000 7.2041
Co Cr W
2 1 1
Direct
0.0000 0.0000 0.0165
0.0000 0.0000 0.4835
0.5000 0.5000 0.2500
0.5000 0.5000 0.7500
```

***

#R
DFT (PBE-GGA) results for a relaxed CrCo2W crystal.

## Properties
N(E_F), states/eV/f.u.: 3.12

Cell and atoms, written as POSCAR:
```
CrCo2W
1.0
4.1872 0.0000 0.0000
0.0000 4.1872 0.0000
0.0000 0.0000 2.9220
Co Cr W
2 1 1
Direct
0.0000 0.0000 0.0000
0.5000 0.5000 0.0000
0.5000 0.0000 0.5000
0.0000 0.5000 0.5000
```

***

Most stable to least stable, the ends of the list are #Q and #P.